Material: MnTeP2O
Method: DFT, PBE+U
State: relaxed

M_tot in μB/f.u.: 0.00
Offset from the most stable computed form in kJ per mole of atoms: 0.0

CIF file:
```
data_MnTeP2O
_chemical_formula_sum 'Mn1 Te1 P2 O1'
_space_group_name_H-M_alt 'P 4/m m m'
_space_group_IT_number 123
_space_group_name_Hall '-P 4 2'
_cell_length_a 4.756
_cell_length_b 4.756
_cell_length_c 3.504
_cell_angle_alpha 90.00
_cell_angle_beta 90.00
_cell_angle_gamma 90.00
loop_
_atom_site_label
_atom_site_type_symbol
_atom_site_fract_x
_atom_site_fract_y
_atom_site_fract_z
Mn1 Mn 0.000 0.000 0.000
Te1 Te 0.500 0.500 0.500
P1 P 0.000 0.500 0.000
O1 O 0.000 0.000 0.500
```